--- P ---
Here is TaBeTlCu after structural relaxation from the Open Quantum Materials Database. Energies are from PBE-GGA.

Output
M_tot ... 0.02 μB/f.u.

Cell and atoms, written as CIF:
```
data_TaBeTlCu
_space_group_name_H-M_alt 'P 1'
_space_group_IT_number 1
_cell_length_a 4.506
_cell_length_b 4.506
_cell_length_c 4.506
_cell_angle_alpha 60.00
_cell_angle_beta 60.00
_cell_angle_gamma 60.00
loop_
_space_group_symop_operation_xyz
'x,y,z'
loop_
_atom_site_label
_atom_site_type_symbol
_atom_site_fract_x
_atom_site_fract_y
_atom_site_fract_z
Ta1 Ta 0.000 0.000 0.000
Be1 Be 0.750 0.750 0.750
Tl1 Tl 0.250 0.250 0.250
Cu1 Cu 0.500 0.500 0.500
```

--- Q ---
Here is TaBeTlCu after structural relaxation from the Open Quantum Materials Database. Energies are from PBE-GGA.

Output
M_tot ... 0.17 μB/f.u.

Cell and atoms, written as CIF:
```
data_TaBeTlCu
_space_group_name_H-M_alt 'P 1'
_space_group_IT_number 1
_cell_length_a 4.439
_cell_length_b 4.439
_cell_length_c 4.439
_cell_angle_alpha 60.00
_cell_angle_beta 60.00
_cell_angle_gamma 60.00
loop_
_space_group_symop_operation_xyz
'x,y,z'
loop_
_atom_site_label
_atom_site_type_symbol
_atom_site_fract_x
_atom_site_fract_y
_atom_site_fract_z
Ta1 Ta 0.000 0.000 0.000
Be1 Be 0.250 0.250 0.250
Tl1 Tl 0.500 0.500 0.500
Cu1 Cu 0.750 0.750 0.750
```

Most stable structure: Q

--- P ---
Here is UBeCu after structural relaxation from the Open Quantum Materials Database. Energies are from PBE-GGA.

Output
M_tot ... 2.24 μB/f.u.

Cell and atoms, written as CIF:
```
data_UBeCu
_space_group_name_H-M_alt 'P 1'
_space_group_IT_number 1
_cell_length_a 4.393
_cell_length_b 4.393
_cell_length_c 4.393
_cell_angle_alpha 60.00
_cell_angle_beta 60.00
_cell_angle_gamma 60.00
loop_
_space_group_symop_operation_xyz
'x,y,z'
loop_
_atom_site_label
_atom_site_type_symbol
_atom_site_fract_x
_atom_site_fract_y
_atom_site_fract_z
U1 U 0.000 0.000 0.000
Be1 Be 0.750 0.750 0.750
Cu1 Cu 0.250 0.250 0.250
```

--- Q ---
Here is UBeCu after structural relaxation from the Open Quantum Materials Database. Energies are from PBE-GGA.

Output
M_tot ... 1.21 μB/f.u.

Cell and atoms, written as CIF:
```
data_UBeCu
_space_group_name_H-M_alt 'P 1'
_space_group_IT_number 1
_cell_length_a 4.257
_cell_length_b 4.257
_cell_length_c 4.257
_cell_angle_alpha 60.00
_cell_angle_beta 60.00
_cell_angle_gamma 60.00
loop_
_space_group_symop_operation_xyz
'x,y,z'
loop_
_atom_site_label
_atom_site_type_symbol
_atom_site_fract_x
_atom_site_fract_y
_atom_site_fract_z
U1 U 0.000 0.000 0.000
Be1 Be 0.500 0.500 0.500
Cu1 Cu 0.750 0.750 0.750
```

Most stable structure: Q

--- P ---
Here is YBeCu after structural relaxation from the Open Quantum Materials Database. Energies are from PBE-GGA.

Output
M_tot ... 0.01 μB/f.u.

Cell and atoms, written as CIF:
```
data_YBeCu
_space_group_name_H-M_alt 'P 1'
_space_group_IT_number 1
_cell_length_a 4.491
_cell_length_b 4.491
_cell_length_c 4.491
_cell_angle_alpha 60.00
_cell_angle_beta 60.00
_cell_angle_gamma 60.00
loop_
_space_group_symop_operation_xyz
'x,y,z'
loop_
_atom_site_label
_atom_site_type_symbol
_atom_site_fract_x
_atom_site_fract_y
_atom_site_fract_z
Y1 Y 0.000 0.000 0.000
Be1 Be 0.750 0.750 0.750
Cu1 Cu 0.250 0.250 0.250
```

--- Q ---
Here is YBeCu after structural relaxation from the Open Quantum Materials Database. Energies are from PBE-GGA.

Output
M_tot ... 0.43 μB/f.u.

Cell and atoms, written as CIF:
```
data_YBeCu
_space_group_name_H-M_alt 'P 1'
_space_group_IT_number 1
_cell_length_a 4.338
_cell_length_b 4.338
_cell_length_c 4.338
_cell_angle_alpha 60.00
_cell_angle_beta 60.00
_cell_angle_gamma 60.00
loop_
_space_group_symop_operation_xyz
'x,y,z'
loop_
_atom_site_label
_atom_site_type_symbol
_atom_site_fract_x
_atom_site_fract_y
_atom_site_fract_z
Y1 Y 0.000 0.000 0.000
Be1 Be 0.500 0.500 0.500
Cu1 Cu 0.750 0.750 0.750
```

--- R ---
Here is YBeCu after structural relaxation from the Open Quantum Materials Database. Energies are from PBE-GGA.

Output
M_tot ... 0.09 μB/f.u.

Cell and atoms, written as CIF:
```
data_YBeCu
_space_group_name_H-M_alt 'P 1'
_space_group_IT_number 1
_cell_length_a 4.291
_cell_length_b 4.291
_cell_length_c 4.291
_cell_angle_alpha 60.00
_cell_angle_beta 60.00
_cell_angle_gamma 60.00
loop_
_space_group_symop_operation_xyz
'x,y,z'
loop_
_atom_site_label
_atom_site_type_symbol
_atom_site_fract_x
_atom_site_fract_y
_atom_site_fract_z
Y1 Y 0.000 0.000 0.000
Be1 Be 0.750 0.750 0.750
Cu1 Cu 0.500 0.500 0.500
```

Most stable structure: Q

--- P ---
Here is BeZnCu2 after structural relaxation from the Open Quantum Materials Database. Energies are from PBE-GGA.

Cell and atoms, written as CIF:
```
data_BeZnCu2
_space_group_name_H-M_alt 'P 1'
_space_group_IT_number 1
_cell_length_a 4.021
_cell_length_b 4.021
_cell_length_c 4.021
_cell_angle_alpha 60.00
_cell_angle_beta 60.00
_cell_angle_gamma 60.00
loop_
_space_group_symop_operation_xyz
'x,y,z'
loop_
_atom_site_label
_atom_site_type_symbol
_atom_site_fract_x
_atom_site_fract_y
_atom_site_fract_z
Be1 Be 0.000 0.000 0.000
Zn1 Zn 0.250 0.250 0.250
Cu1 Cu 0.500 0.500 0.500
Cu2 Cu 0.750 0.750 0.750
```

--- Q ---
Here is BeZnCu2 after structural relaxation from the Open Quantum Materials Database. Energies are from PBE-GGA.

Cell and atoms, written as CIF:
```
data_BeZnCu2
_space_group_name_H-M_alt 'P 1'
_space_group_IT_number 1
_cell_length_a 5.642
_cell_length_b 5.642
_cell_length_c 5.642
_cell_angle_alpha 90.00
_cell_angle_beta 90.00
_cell_angle_gamma 90.00
loop_
_space_group_symop_operation_xyz
'x,y,z'
loop_
_atom_site_label
_atom_site_type_symbol
_atom_site_fract_x
_atom_site_fract_y
_atom_site_fract_z
Be1 Be 0.000 0.000 0.000
Be2 Be 0.000 0.000 0.500
Be3 Be 0.000 0.500 0.000
Be4 Be 0.500 0.000 0.000
Zn1 Zn 0.000 0.500 0.500
Zn2 Zn 0.500 0.000 0.500
Zn3 Zn 0.500 0.500 0.000
Zn4 Zn 0.500 0.500 0.500
Cu1 Cu 0.233 0.233 0.233
Cu2 Cu 0.233 0.233 0.767
Cu3 Cu 0.233 0.767 0.233
Cu4 Cu 0.233 0.767 0.767
Cu5 Cu 0.767 0.233 0.233
Cu6 Cu 0.767 0.233 0.767
Cu7 Cu 0.767 0.767 0.233
Cu8 Cu 0.767 0.767 0.767
```

Most stable structure: Q